# 1
Below is crystalline Cs2LaNpS4 at its relaxed geometry, with properties calculated at the GGA-PBE level.

Cell lengths 7.3975, 4.2542, 8.4346 Å; angles 90.00, 106.98, 90.00 degrees
Closest atoms and distances in Å follow each position.
Space group P2/m (No. 10)
Asymmetric unit:
Cs: 0.0000 0.0000 0.0000 [1 per cell]  6 S 3.57-3.58
Cs: 0.5000 0.5000 0.0000 [1 per cell]  6 S 3.51
La: 0.0000 0.5000 0.5000 [1 per cell]  6 S 2.91-2.93
Np: 0.5000 0.0000 0.5000 [1 per cell]  6 S 2.83-2.84
S: 0.2365 0.0000 0.6862 [2 per cell]  1 Np 2.84, 2 La 2.91
S: 0.2826 0.5000 0.3190 [2 per cell]  2 Np 2.83, 1 La 2.93

DOS at the Fermi energy (states/eV/cell): 7.1
Energy (eV/atom): -6.112
Volume (Å³ per cell): 253.88
Formation energy from raw total energies (meV/atom): -1602
Total magnetization (μB/f.u.): 4.0

# 2
Below is crystalline Y2Zr2In at its relaxed geometry, with properties calculated at the GGA-PBE level.

Cell lengths 7.7448, 7.7448, 4.5118 Å; angles 90.00, 90.00, 90.00 degrees
Closest atoms and distances in Å follow each position.
Space group P4/mbm (No. 127)
Asymmetric unit:
Y: 0.1609 0.3391 0.0000 [4 per cell]  6 Zr 3.16-3.23, 1 Y 3.53
Zr: 0.1374 0.6374 0.5000 [4 per cell]  2 In 3.00, 1 Zr 3.01, 6 Y 3.16-3.23
In: 0.0000 0.0000 0.5000 [2 per cell]  4 Zr 3.00

DOS at the Fermi energy (states/eV/cell): 11.0
Energy (eV/atom): -6.559
Volume (Å³ per cell): 270.63
ΔH_f (0 K) (eV per atom): -0.006
Total magnetization (μB/f.u.): 0.0

# 3
Below is crystalline PaB4Ir at its relaxed geometry, with properties calculated at the GGA-PBE level.

Cell lengths 3.1737, 5.0836, 8.2280 Å; angles 90.00, 90.00, 90.00 degrees
Closest atoms and distances in Å follow each position.
Space group Immm (No. 71)
Asymmetric unit:
Pa: 0.0000 0.0000 0.0000 [2 per cell]  12 B 2.64-2.74
B: 0.0000 0.3112 0.2715 [8 per cell]  3 B 1.74-1.92
Ir: 0.0000 0.0000 0.5000 [2 per cell]  4 B 2.46

DOS at the Fermi energy (states/eV/cell): 6.6
Energy (eV/atom): -7.654
Volume (Å³ per cell): 132.75
ΔH_f (0 K) (eV per atom): -0.143
Total magnetization (μB/f.u.): 0.0
Excess energy over the best structure of this formula in the dataset (meV per atom): 421